No. 1
Material: MgPtS
Method: DFT, PBE
State: optimized geometry

a = 4.6436 Å, b = 5.1708 Å, c = 5.1795 Å
α = 77.48°, β = 74.68°, γ = 74.64°
Last column: nearest neighbours and their distance in Å.
Fractional positions:
1 Mg 0.0000 0.0000 0.0000  3 S 2.53-2.59, 2 Pt 2.79-2.80
2 Mg 0.3123 0.5644 0.5656  3 S 2.53-2.59, 2 Pt 2.80
3 Pt 0.1569 0.4331 0.1312  2 S 2.46, 2 Pt 2.75
4 Pt 0.6569 0.6601 0.9038  2 S 2.36
5 S 0.4511 0.9654 0.2199  2 Pt 2.36-2.46, 3 Mg 2.53-2.59
6 S 0.8623 0.3441 0.5979  2 Pt 2.36-2.46, 3 Mg 2.53-2.59

Output
- M_tot: 0.0 μB per formula unit
- Final energy: -4.5374 eV per atom
- D(E_F): 1.02 states/eV per cell
- Uncorrected formation energy: -1.8 eV/f.u.

---

No. 2
Material: MgPtS
Method: DFT, PBE
State: optimized geometry

a = 4.7397 Å, b = 4.7397 Å, c = 4.9858 Å
α = 95.77°, β = 95.77°, γ = 78.65°
Last column: nearest neighbours and their distance in Å.
Fractional positions:
1 Mg 0.1669 0.1669 0.2431  4 S 2.52-2.78, 2 Pt 2.77-2.80
2 Mg 0.8331 0.8331 0.7569  4 S 2.52-2.78, 2 Pt 2.77-2.80
3 Pt 0.3452 0.6548 0.5000  2 S 2.43
4 Pt 0.5993 0.4007 0.0000  2 S 2.33
5 S 0.2888 0.1228 0.7579  2 Pt 2.33-2.43, 2 Mg 2.52-2.59
6 S 0.8772 0.7112 0.2421  2 Pt 2.33-2.43, 2 Mg 2.52-2.59

Output
- M_tot: 0.0 μB per formula unit
- Final energy: -4.4826 eV per atom
- D(E_F): 0.02 states/eV per cell
- Uncorrected formation energy: -1.7 eV/f.u.

---

No. 3
Material: MgPtS
Method: DFT, PBE
State: optimized geometry

a = 4.0902 Å, b = 3.7609 Å, c = 8.1655 Å
α = 90.00°, β = 104.50°, γ = 90.00°
Last column: nearest neighbours and their distance in Å.
Fractional positions:
1 Mg 0.0000 0.0000 0.0000  4 S 2.43-2.48
2 Mg 0.2867 0.5000 0.5694  6 Pt 2.68-2.78, 2 S 2.71-2.72
3 Pt 0.6775 0.5000 0.3510  2 S 2.39, 2 Pt 2.66
4 Pt 0.7968 0.0000 0.5887  2 S 2.49, 2 Pt 2.66, 4 Mg 2.78
5 S 0.5827 0.0000 0.1653  2 Pt 2.39, 2 Mg 2.43
6 S 0.8984 0.5000 0.7957  4 Mg 2.48-2.72, 2 Pt 2.49

Output
- M_tot: 0.0 μB per formula unit
- Final energy: -4.6637 eV per atom
- D(E_F): 0.00 states/eV per cell
- Uncorrected formation energy: -2.2 eV/f.u.

---

No. 4
Material: Mg3PtS
Method: DFT, PBE
State: optimized geometry

a = 4.6714 Å, b = 4.6714 Å, c = 4.6714 Å
α = 90.00°, β = 90.00°, γ = 90.00°
Last column: nearest neighbours and their distance in Å.
Fractional positions:
1 Mg 0.0000 0.0000 0.5000  2 S 2.34
2 Mg 0.0000 0.5000 0.0000  2 S 2.34
3 Mg 0.5000 0.0000 0.0000  2 S 2.34
4 Pt 0.5000 0.5000 0.5000  12 Mg 3.30
5 S 0.0000 0.0000 0.0000  6 Mg 2.34

Output
- Distance to the lowest polymorph of the same formula: 0 meV/atom
- M_tot: 0.0 μB per formula unit
- Final energy: -3.2788 eV per atom
- D(E_F): 1.50 states/eV per cell
- Uncorrected formation energy: -1.4 eV/f.u.

---

No. 5
Material: Mg3PtS
Method: DFT, PBE
State: optimized geometry

a = 4.9526 Å, b = 4.9526 Å, c = 4.9526 Å
α = 90.00°, β = 90.00°, γ = 90.00°
Last column: nearest neighbours and their distance in Å.
Fractional positions:
1 Mg 0.0000 0.0000 0.5000  2 Pt 2.48
2 Mg 0.0000 0.5000 0.0000  2 Pt 2.48
3 Mg 0.5000 0.0000 0.0000  2 Pt 2.48
4 Pt 0.0000 0.0000 0.0000  6 Mg 2.48
5 S 0.5000 0.5000 0.5000  12 Mg 3.50

Output
- Distance to the lowest polymorph of the same formula: 39 meV/atom
- M_tot: 0.0 μB per formula unit
- Final energy: -3.2398 eV per atom
- D(E_F): 2.39 states/eV per cell
- Uncorrected formation energy: -1.2 eV/f.u.

---

No. 6
Material: MgPtS2
Method: DFT, PBE
State: optimized geometry

a = 7.7320 Å, b = 7.7320 Å, c = 7.7320 Å
α = 26.28°, β = 26.28°, γ = 26.28°
Last column: nearest neighbours and their distance in Å.
Fractional positions:
1 Mg 0.0000 0.0000 0.0000  6 S 2.53
2 Pt 0.5000 0.5000 0.5000  2 S 2.23
3 S 0.4004 0.4004 0.4004  1 Pt 2.23
4 S 0.5996 0.5996 0.5996  1 Pt 2.23

Output
- M_tot: 0.0 μB per formula unit
- Final energy: -4.3428 eV per atom
- D(E_F): 2.74 states/eV per cell
- Uncorrected formation energy: -1.5 eV/f.u.

---

No. 7
Material: MgPtS
Method: DFT, PBE
State: optimized geometry

a = 5.6557 Å, b = 6.7093 Å, c = 5.3642 Å
α = 90.00°, β = 90.00°, γ = 90.00°
Last column: nearest neighbours and their distance in Å.
Fractional positions:
1 Mg 0.1586 0.2500 0.1563  4 S 2.65-2.69, 3 Pt 2.69-2.85
2 Mg 0.3414 0.7500 0.6563  4 S 2.65-2.69, 3 Pt 2.69-2.85
3 Mg 0.6586 0.2500 0.3437  4 S 2.65-2.69, 3 Pt 2.69-2.85
4 Mg 0.8414 0.7500 0.8437  4 S 2.65-2.69, 3 Pt 2.69-2.85
5 Pt 0.2039 0.7500 0.1680  4 S 2.54-2.70, 2 Mg 2.69-2.73
6 Pt 0.2961 0.2500 0.6680  4 S 2.54-2.70, 2 Mg 2.69-2.73
7 Pt 0.7039 0.7500 0.3320  4 S 2.54-2.70, 2 Mg 2.69-2.73
8 Pt 0.7961 0.2500 0.8320  4 S 2.54-2.70, 2 Mg 2.69-2.73
9 S 0.0000 0.0000 0.5000  4 Pt 2.54-2.70, 4 Mg 2.65-2.69
10 S 0.0000 0.5000 0.5000  4 Pt 2.54-2.70, 4 Mg 2.65-2.69
11 S 0.5000 0.0000 0.0000  4 Pt 2.54-2.70, 4 Mg 2.65-2.69
12 S 0.5000 0.5000 0.0000  4 Pt 2.54-2.70, 4 Mg 2.65-2.69

Output
- M_tot: 0.0 μB per formula unit
- Final energy: -4.3998 eV per atom
- D(E_F): 0.77 states/eV per cell
- Uncorrected formation energy: -1.4 eV/f.u.

---

No. 8
Material: MgPtS
Method: DFT, PBE
State: optimized geometry

a = 3.6634 Å, b = 3.7321 Å, c = 8.5613 Å
α = 100.90°, β = 102.29°, γ = 90.07°
Last column: nearest neighbours and their distance in Å.
Fractional positions:
1 Mg 0.0000 0.0000 0.0000  5 S 2.55-2.71, 1 Pt 2.78
2 Mg 0.2931 0.0693 0.5879  2 S 2.59-2.60, 4 Pt 2.70-2.78
3 Pt 0.1305 0.5854 0.2614  2 S 2.33
4 Pt 0.7431 0.5419 0.4895  1 S 2.36
5 S 0.5431 0.5368 0.0868  2 Pt 2.33
6 S 0.8819 0.4570 0.7619  1 Pt 2.36, 3 Mg 2.55-2.60

Output
- M_tot: 0.0 μB per formula unit
- Final energy: -4.5280 eV per atom
- D(E_F): 1.15 states/eV per cell
- Uncorrected formation energy: -1.8 eV/f.u.